# VPHO5 (SCAN, PBEsol geometry)
# Magnetization ... 0.1250 μB per atom
# Electronic total energy ... -10.084 eV per atom
data_VPHO5
_symmetry_space_group_name_H-M 'P 1'
_symmetry_Int_Tables_number 1
_symmetry_space_group_name_Hall 'P 1'
_cell_length_a 5.167
_cell_length_b 5.171
_cell_length_c 7.171
_cell_angle_alpha 105.00
_cell_angle_beta 108.19
_cell_angle_gamma 100.80
loop_
_atom_site_label
_atom_site_type_symbol
_atom_site_fract_x
_atom_site_fract_y
_atom_site_fract_z
O1 O 0.240 0.370 0.618
V1 V 0.000 0.000 0.000
O2 O 0.635 0.746 0.922
O3 O 0.874 0.050 0.731
H1 H 0.663 0.025 0.684
O4 O 0.126 0.700 0.887
O5 O 0.874 0.300 0.113
P1 P 0.327 0.672 0.768
O6 O 0.684 0.123 0.359
H2 H 0.337 0.975 0.316
P2 P 0.673 0.328 0.232
O7 O 0.316 0.877 0.641
O8 O 0.126 0.950 0.269
V2 V 0.000 0.000 0.500
O9 O 0.365 0.254 0.078
O10 O 0.760 0.630 0.382